# Rb4U3PtSe8

Rb4U3PtSe8 after structural relaxation (GGA-PBE, Alexandria).

Cell lengths 8.108, 9.401, 8.557 Å; angles 116.52, 118.28, 90.00 degrees
Sites, in units of the cell vectors:
Rb: 0.500 0.000 0.000
Rb: 0.500 0.000 0.500
Rb: 0.000 0.000 0.000
Rb: 0.000 0.000 0.500
U: 0.500 0.500 0.000
U: 0.500 0.500 0.500
U: 0.000 0.500 0.500
Pt: 0.000 0.500 0.000
Se: 0.203 0.676 0.955
Se: 0.264 0.719 0.527
Se: 0.273 0.301 0.546
Se: 0.752 0.676 0.955
Se: 0.248 0.324 0.045
Se: 0.727 0.699 0.454
Se: 0.736 0.281 0.473
Se: 0.797 0.324 0.045

Summary:
Formation energy (no corrections) (eV per formula unit): -16.6
Total magnetic moment (μB/f.u.): 7.9
Density of states at the Fermi level (states/eV per cell): 16.0